A | Material: PmDyTe3
Method: DFT, PBE
State: optimized geometry

## Properties
Total magnetization = 0.000 μB per atom
DOS(E_F) = 0.29 states/eV/f.u.

abc: 8.2761 4.3832 17.3965
angles: 90.00 90.00 90.00
Closest atoms and distances in Å follow each position.
Fractional coordinates of all 20 atoms:
Pm  0.1339  0.2500  0.2007  8 Te 3.15-3.51
Pm  0.3661  0.7500  0.7007  8 Te 3.15-3.51
Pm  0.6339  0.2500  0.2993  8 Te 3.15-3.51
Pm  0.8661  0.7500  0.7993  8 Te 3.15-3.51
Dy  0.2278  0.7500  0.4585  7 Te 3.09-3.24
Dy  0.2722  0.2500  0.9585  7 Te 3.09-3.24
Dy  0.7278  0.7500  0.0415  7 Te 3.09-3.24
Dy  0.7722  0.2500  0.5415  7 Te 3.09-3.24
Te  0.0035  0.2500  0.3928  3 Dy 3.09-3.22
Te  0.1170  0.7500  0.0642  3 Dy 3.14-3.24, 2 Pm 3.24, 1 Te 3.47
Te  0.1570  0.2500  0.7851  4 Pm 3.15-3.27, 1 Dy 3.16, 1 Te 3.47
Te  0.3430  0.7500  0.2851  4 Pm 3.15-3.27, 1 Dy 3.16, 1 Te 3.47
Te  0.3830  0.2500  0.5642  3 Dy 3.14-3.24, 2 Pm 3.24, 1 Te 3.47
Te  0.4965  0.7500  0.8928  3 Dy 3.09-3.22
Te  0.5035  0.2500  0.1072  3 Dy 3.09-3.22
Te  0.6170  0.7500  0.4358  3 Dy 3.14-3.24, 2 Pm 3.24, 1 Te 3.47
Te  0.6570  0.2500  0.7149  4 Pm 3.15-3.27, 1 Dy 3.16, 1 Te 3.47
Te  0.8430  0.7500  0.2149  4 Pm 3.15-3.27, 1 Dy 3.16, 1 Te 3.47
Te  0.8830  0.2500  0.9358  3 Dy 3.14-3.24, 2 Pm 3.24, 1 Te 3.47
Te  0.9965  0.7500  0.6072  3 Dy 3.09-3.22

---

B | Material: PmDyTe3
Method: DFT, PBE
State: optimized geometry

## Properties
Total magnetization = 0.000 μB per atom

abc: 8.1275 11.5631 7.3514
angles: 90.00 90.00 90.00
Closest atoms and distances in Å follow each position.
Fractional coordinates of all 20 atoms:
Pm  0.0000  0.0000  0.0000  6 Te 3.05-3.18
Pm  0.0000  0.5000  0.0000  6 Te 3.05-3.18
Pm  0.5000  0.0000  0.5000  6 Te 3.05-3.18
Pm  0.5000  0.5000  0.5000  6 Te 3.05-3.18
Dy  0.1225  0.2500  0.4435  6 Te 3.09-3.25
Dy  0.3775  0.7500  0.9435  6 Te 3.09-3.25
Dy  0.6225  0.2500  0.0565  6 Te 3.09-3.25
Dy  0.8775  0.7500  0.5565  6 Te 3.09-3.25
Te  0.0573  0.7500  0.1696  2 Dy 3.09-3.20, 2 Pm 3.18
Te  0.1734  0.5894  0.6595  2 Pm 3.05-3.08, 2 Dy 3.13-3.25
Te  0.1734  0.9106  0.6595  2 Pm 3.05-3.08, 2 Dy 3.13-3.25
Te  0.3266  0.0894  0.1595  2 Pm 3.05-3.08, 2 Dy 3.13-3.25
Te  0.3266  0.4106  0.1595  2 Pm 3.05-3.08, 2 Dy 3.13-3.25
Te  0.4427  0.2500  0.6696  2 Dy 3.09-3.20, 2 Pm 3.18
Te  0.5573  0.7500  0.3304  2 Dy 3.09-3.20, 2 Pm 3.18
Te  0.6734  0.5894  0.8405  2 Pm 3.05-3.08, 2 Dy 3.13-3.25
Te  0.6734  0.9106  0.8405  2 Pm 3.05-3.08, 2 Dy 3.13-3.25
Te  0.8266  0.0894  0.3405  2 Pm 3.05-3.08, 2 Dy 3.13-3.25
Te  0.8266  0.4106  0.3405  2 Pm 3.05-3.08, 2 Dy 3.13-3.25
Te  0.9427  0.2500  0.8304  2 Dy 3.09-3.20, 2 Pm 3.18

---

The least stable of them is B.

---

A | Material: Pm2Dy2Te5
Method: DFT, PBE
State: optimized geometry

## Properties
Total magnetization = 0.000 μB per atom
DOS(E_F) = 6.42 states/eV/f.u.

abc: 8.9724 8.9724 8.2395
angles: 90.00 90.00 54.65
Closest atoms and distances in Å follow each position.
Fractional coordinates of all 18 atoms:
Pm  0.1973  0.1973  0.0000  7 Te 3.15-3.27
Pm  0.3027  0.3027  0.5000  7 Te 3.15-3.27
Pm  0.6973  0.6973  0.5000  7 Te 3.15-3.27
Pm  0.8027  0.8027  0.0000  7 Te 3.15-3.27
Dy  0.1453  0.8547  0.6495  8 Te 3.13-3.34, 1 Dy 3.44
Dy  0.3547  0.6453  0.1495  8 Te 3.13-3.34, 1 Dy 3.44
Dy  0.6453  0.3547  0.8505  8 Te 3.13-3.34, 1 Dy 3.44
Dy  0.8547  0.1453  0.3505  8 Te 3.13-3.34, 1 Dy 3.44
Te  0.0000  0.0000  0.0000  4 Dy 3.13-3.17, 2 Pm 3.15
Te  0.0220  0.7031  0.3440  3 Dy 3.16-3.34, 3 Pm 3.21-3.27
Te  0.2031  0.5220  0.8440  3 Dy 3.16-3.34, 3 Pm 3.21-3.27
Te  0.2969  0.9780  0.3440  3 Dy 3.16-3.34, 3 Pm 3.21-3.27
Te  0.4780  0.7969  0.8440  3 Dy 3.16-3.34, 3 Pm 3.21-3.27
Te  0.5000  0.5000  0.5000  4 Dy 3.13-3.17, 2 Pm 3.15
Te  0.5220  0.2031  0.1560  3 Dy 3.16-3.34, 3 Pm 3.21-3.27
Te  0.7031  0.0220  0.6560  3 Dy 3.16-3.34, 3 Pm 3.21-3.27
Te  0.7969  0.4780  0.1560  3 Dy 3.16-3.34, 3 Pm 3.21-3.27
Te  0.9780  0.2969  0.6560  3 Dy 3.16-3.34, 3 Pm 3.21-3.27

---

B | Material: Pm2Dy2Te5
Method: DFT, PBE
State: optimized geometry

## Properties
Total magnetization = 0.000 μB per atom
DOS(E_F) = 2.95 states/eV/f.u.

abc: 10.8519 10.8519 7.8748
angles: 111.22 111.22 44.45
Closest atoms and distances in Å follow each position.
Fractional coordinates of all 18 atoms:
Pm  0.1009  0.1009  0.0888  5 Te 3.06-3.17
Pm  0.3994  0.3991  0.3867  5 Te 3.06-3.17
Pm  0.6009  0.6006  0.6133  5 Te 3.06-3.17
Pm  0.8991  0.8991  0.9112  5 Te 3.06-3.17
Dy  0.3847  0.1154  0.7757  4 Te 3.09-3.18
Dy  0.3977  0.6023  0.0000  6 Te 3.05-3.15
Dy  0.8846  0.6153  0.2243  4 Te 3.09-3.18
Dy  0.8981  0.1019  0.5000  6 Te 3.05-3.15
Te  0.1314  0.7491  0.6335  2 Dy 3.05-3.15, 2 Pm 3.06-3.11
Te  0.1854  0.5067  0.0031  2 Pm 3.08-3.17, 2 Dy 3.14-3.18
Te  0.2097  0.2903  0.4228  2 Dy 3.09-3.13, 2 Pm 3.14
Te  0.2509  0.8686  0.3665  2 Dy 3.05-3.15, 2 Pm 3.06-3.11
Te  0.4933  0.8146  0.9969  2 Pm 3.08-3.17, 2 Dy 3.14-3.18
Te  0.6310  0.2495  0.7469  2 Dy 3.05-3.15, 2 Pm 3.06-3.10
Te  0.6858  0.0065  0.1893  2 Pm 3.08-3.17, 2 Dy 3.14-3.18
Te  0.7097  0.7903  0.5772  2 Dy 3.09-3.13, 2 Pm 3.14
Te  0.7505  0.3690  0.2531  2 Dy 3.05-3.15, 2 Pm 3.06-3.10
Te  0.9935  0.3142  0.8107  2 Pm 3.08-3.17, 2 Dy 3.14-3.18

---

The least stable of them is B.

---

A | Material: Pm7Dy2Th2
Method: DFT, PBE
State: optimized geometry

## Properties
Total magnetization = 0.000 μB per atom
DOS(E_F) = 15.03 states/eV/f.u.

abc: 8.1717 8.1717 6.0607
angles: 105.73 105.73 89.84
Closest atoms and distances in Å follow each position.
Fractional coordinates of all 11 atoms:
Pm  0.0000  0.0000  0.0000  4 Pm 3.27, 2 Dy 3.56
Pm  0.0459  0.5912  0.8256  2 Pm 3.13-3.27, 1 Th 3.39, 1 Dy 3.44
Pm  0.4088  0.9541  0.1744  2 Pm 3.13-3.27, 1 Th 3.39, 1 Dy 3.44
Pm  0.4271  0.4271  0.2018  2 Pm 3.35-3.46, 2 Dy 3.51-3.72, 2 Th 3.70
Pm  0.5729  0.5729  0.7982  2 Pm 3.35-3.46, 2 Dy 3.51-3.72, 2 Th 3.70
Pm  0.5912  0.0459  0.8256  2 Pm 3.13-3.27, 1 Th 3.39, 1 Dy 3.44
Pm  0.9541  0.4088  0.1744  2 Pm 3.13-3.27, 1 Th 3.39, 1 Dy 3.44
Dy  0.2258  0.2258  0.5976  7 Pm 3.44-3.72, 2 Th 3.48
Dy  0.7742  0.7742  0.4024  7 Pm 3.44-3.72, 2 Th 3.48
Th  0.2137  0.7863  0.5000  6 Pm 3.39-3.70, 2 Dy 3.48
Th  0.7863  0.2137  0.5000  6 Pm 3.39-3.70, 2 Dy 3.48

---

B | Material: Pm7Dy2Th2
Method: DFT, PBE
State: optimized geometry

## Properties
Total magnetization = 0.000 μB per atom
DOS(E_F) = 16.52 states/eV/f.u.

abc: 8.0900 8.0900 6.1582
angles: 105.46 105.46 91.07
Closest atoms and distances in Å follow each position.
Fractional coordinates of all 11 atoms:
Pm  0.0000  0.0000  0.0000  6 Pm 3.31-3.58
Pm  0.0599  0.5868  0.8296  3 Pm 3.15-3.37, 2 Dy 3.35-3.48
Pm  0.2339  0.2339  0.5883  5 Pm 3.37-3.64, 2 Th 3.54-3.59, 2 Dy 3.58
Pm  0.4132  0.9401  0.1704  3 Pm 3.15-3.37, 2 Dy 3.35-3.48
Pm  0.5868  0.0599  0.8296  3 Pm 3.15-3.37, 2 Dy 3.35-3.48
Pm  0.7661  0.7661  0.4117  5 Pm 3.37-3.64, 2 Th 3.54-3.59, 2 Dy 3.58
Pm  0.9401  0.4132  0.1704  3 Pm 3.15-3.37, 2 Dy 3.35-3.48
Dy  0.2224  0.7776  0.5000  6 Pm 3.35-3.58, 2 Th 3.65
Dy  0.7776  0.2224  0.5000  6 Pm 3.35-3.58, 2 Th 3.65
Th  0.4240  0.4240  0.1963  2 Th 3.46-3.47, 7 Pm 3.54-3.87, 2 Dy 3.65
Th  0.5760  0.5760  0.8037  2 Th 3.46-3.47, 7 Pm 3.54-3.87, 2 Dy 3.65

---

The least stable of them is A.

---

A | Material: Pm2Dy12Th5
Method: DFT, PBE
State: optimized geometry

## Properties
Total magnetization = 0.000 μB per atom
DOS(E_F) = 30.04 states/eV/f.u.

abc: 9.9518 9.9518 10.2849
angles: 111.25 111.25 41.34
Closest atoms and distances in Å follow each position.
Fractional coordinates of all 19 atoms:
Pm  0.2166  0.7834  0.0000  1 Pm 3.04, 2 Dy 3.06
Pm  0.7834  0.2166  0.0000  1 Pm 3.04, 2 Dy 3.06
Dy  0.0022  0.0022  0.3294  7 Dy 3.38-3.72, 2 Pm 3.70
Dy  0.0822  0.5833  0.4797  6 Dy 3.27-3.61, 2 Th 3.51-3.58
Dy  0.0963  0.5886  0.1363  6 Dy 3.38-3.69, 2 Th 3.51-3.56, 1 Pm 3.72
Dy  0.4114  0.9037  0.8637  6 Dy 3.38-3.69, 2 Th 3.51-3.56, 1 Pm 3.72
Dy  0.4167  0.9178  0.5203  6 Dy 3.27-3.61, 2 Th 3.51-3.58
Dy  0.4683  0.4683  0.7584  2 Th 2.94-3.21, 2 Pm 3.06
Dy  0.5317  0.5317  0.2416  2 Th 2.94-3.21, 2 Pm 3.06
Dy  0.5833  0.0822  0.4797  6 Dy 3.27-3.61, 2 Th 3.51-3.58
Dy  0.5886  0.0963  0.1363  6 Dy 3.38-3.69, 2 Th 3.51-3.56, 1 Pm 3.72
Dy  0.9037  0.4114  0.8637  6 Dy 3.38-3.69, 2 Th 3.51-3.56, 1 Pm 3.72
Dy  0.9178  0.4167  0.5203  6 Dy 3.27-3.61, 2 Th 3.51-3.58
Dy  0.9978  0.9978  0.6706  7 Dy 3.38-3.72, 2 Pm 3.70
Th  0.1794  0.1794  0.2109  2 Th 3.54, 2 Pm 3.55, 9 Dy 3.58-3.94
Th  0.3124  0.3124  0.8221  5 Dy 3.21-3.56, 2 Th 3.54
Th  0.5000  0.5000  0.5000  2 Dy 2.94
Th  0.6876  0.6876  0.1779  5 Dy 3.21-3.56, 2 Th 3.54
Th  0.8206  0.8206  0.7891  2 Th 3.54, 2 Pm 3.55, 9 Dy 3.58-3.94

---

B | Material: Pm2Dy12Th5
Method: DFT, PBE
State: optimized geometry

## Properties
Total magnetization = 0.000 μB per atom
DOS(E_F) = 29.51 states/eV/f.u.

abc: 11.5127 11.5127 8.6615
angles: 107.94 107.94 35.36
Closest atoms and distances in Å follow each position.
Fractional coordinates of all 19 atoms:
Pm  0.2461  0.7539  0.0000  6 Dy 3.39-3.62, 2 Pm 3.44-3.55, 2 Th 3.62
Pm  0.7539  0.2461  0.0000  6 Dy 3.39-3.62, 2 Pm 3.44-3.55, 2 Th 3.62
Dy  0.0472  0.0472  0.6900  3 Dy 3.27-3.63, 1 Th 3.51, 2 Pm 3.61
Dy  0.0478  0.5516  0.2107  7 Dy 3.46-3.63, 4 Th 3.48-3.57
Dy  0.1342  0.6481  0.6191  1 Pm 3.39, 6 Dy 3.40-3.77, 4 Th 3.40-3.41
Dy  0.3494  0.3494  0.9198  3 Th 3.50-3.54, 6 Dy 3.52-3.55, 2 Pm 3.62
Dy  0.3519  0.8658  0.3809  1 Pm 3.39, 6 Dy 3.40-3.77, 4 Th 3.40-3.41
Dy  0.4484  0.9522  0.7893  7 Dy 3.46-3.63, 4 Th 3.48-3.57
Dy  0.5516  0.0478  0.2107  7 Dy 3.46-3.63, 4 Th 3.48-3.57
Dy  0.6481  0.1342  0.6191  1 Pm 3.39, 6 Dy 3.40-3.77, 4 Th 3.40-3.41
Dy  0.6506  0.6506  0.0802  3 Th 3.50-3.54, 6 Dy 3.52-3.55, 2 Pm 3.62
Dy  0.8658  0.3519  0.3809  1 Pm 3.39, 6 Dy 3.40-3.77, 4 Th 3.40-3.41
Dy  0.9522  0.4484  0.7893  7 Dy 3.46-3.63, 4 Th 3.48-3.57
Dy  0.9528  0.9528  0.3100  3 Dy 3.27-3.63, 1 Th 3.51, 2 Pm 3.61
Th  0.1530  0.1530  0.0927  9 Dy 3.41-3.57, 1 Th 3.53, 2 Pm 3.62
Th  0.2514  0.2514  0.5056  9 Dy 3.41-3.54, 3 Th 3.50-3.53
Th  0.5000  0.5000  0.5000  4 Dy 3.40
Th  0.7486  0.7486  0.4944  9 Dy 3.41-3.54, 3 Th 3.50-3.53
Th  0.8470  0.8470  0.9073  9 Dy 3.41-3.57, 1 Th 3.53, 2 Pm 3.62

---

The least stable of them is A.